# AcEr2Tm4

Crystalline AcEr2Tm4 at its relaxed geometry (GGA-PBE, the Alexandria database).

Computed properties:
N(E_F) = 1.493 states/eV per atom
size of the total moment = 0.000 μB/atom
calculated density = 9.095 g/cm3
energy relative to the elements = 5.9 kJ/mol of atoms

Lattice parameters (Å, degrees): 7.0725 8.6160 8.7213 61.03 89.62 77.89
Closest atoms and distances in Å follow each position.
Space group P1 (No. 1)
Unique sites:
Ac  0.0000  0.0000  0.0000 [1 per cell]  7 Tm 3.44-3.80, 4 Er 3.53-3.65
Ac  0.1798  0.3185  0.1305 [1 per cell]  8 Tm 3.51-3.85, 4 Er 3.58-3.88, 1 Ac 3.87
Er  0.0389  0.8710  0.4663 [1 per cell]  7 Tm 3.50-3.77, 3 Er 3.51-3.82, 2 Ac 3.65-3.88
Er  0.2148  0.1907  0.5878 [1 per cell]  2 Er 3.31-3.58, 6 Tm 3.47-3.58, 2 Ac 3.58-3.63
Er  0.3267  0.7432  0.8532 [1 per cell]  5 Tm 3.16-3.53, 2 Er 3.31-3.51, 1 Ac 3.53
Er  0.8525  0.5907  0.2963 [1 per cell]  5 Tm 3.24-3.60, 1 Er 3.58, 1 Ac 3.59
Tm  0.3664  0.5981  0.2952 [1 per cell]  3 Tm 3.28-3.55, 4 Er 3.42-3.65, 1 Ac 3.61
Tm  0.3987  0.4568  0.7190 [1 per cell]  2 Er 3.16-3.47, 4 Tm 3.28-3.49
Tm  0.5058  0.0041  0.9949 [1 per cell]  5 Tm 3.36-3.63, 3 Er 3.48-3.60, 2 Ac 3.49-3.58
Tm  0.5443  0.8727  0.4566 [1 per cell]  5 Er 3.50-3.82, 7 Tm 3.50-3.88, 1 Ac 3.85
Tm  0.6744  0.3254  0.1212 [1 per cell]  3 Ac 3.51-3.80, 7 Tm 3.55-3.88, 2 Er 3.56-3.71
Tm  0.7087  0.1919  0.5759 [1 per cell]  6 Tm 3.34-3.63, 4 Er 3.48-3.72, 1 Ac 3.66
Tm  0.8143  0.7418  0.8550 [1 per cell]  4 Tm 3.15-3.52, 3 Er 3.40-3.50, 1 Ac 3.50
Tm  0.8904  0.4630  0.7125 [1 per cell]  3 Tm 3.15-3.50, 3 Er 3.24-3.50, 1 Ac 3.44

---

# AcErTm

Crystalline AcErTm at its relaxed geometry (GGA-PBE, the Alexandria database).

Computed properties:
E above lowest polymorph = 0.31 eV/f.u.
N(E_F) = 1.807 states/eV per atom
size of the total moment = 0.000 μB/atom
calculated density = 8.994 g/cm3
energy relative to the elements = 15.2 kJ/mol of atoms

Lattice parameters (Å, degrees): 5.8122 5.8122 3.5542 90.00 90.00 120.00
Closest atoms and distances in Å follow each position.
Space group P3m1 (No. 156)
Unique sites:
Ac  0.0000  0.0000  0.0000 [1 per cell]  3 Er 3.36, 2 Ac 3.55
Er  0.3333  0.6667  0.9982 [1 per cell]  3 Ac 3.36, 2 Er 3.55
Tm  0.6667  0.3333  0.4994 [1 per cell]  2 Tm 3.55, 6 Er 3.80, 6 Ac 3.80

---

# AcEr15Tm4

Crystalline AcEr15Tm4 at its relaxed geometry (GGA-PBE, the Alexandria database).

Computed properties:
N(E_F) = 1.380 states/eV per atom
size of the total moment = 0.000 μB/atom
calculated density = 9.151 g/cm3
energy relative to the elements = 3.5 kJ/mol of atoms

Lattice parameters (Å, degrees): 4.9816 4.9816 24.9461 90.00 90.00 90.00
Closest atoms and distances in Å follow each position.
Space group P4/mmm (No. 123)
Unique sites:
Ac  0.0000  0.0000  0.0000 [1 per cell]  12 Er 3.52-3.63
Er  0.0000  0.5000  0.1059 [4 per cell]  2 Tm 3.48, 8 Er 3.50-3.63, 2 Ac 3.63
Er  0.0000  0.5000  0.3027 [4 per cell]  8 Er 3.49-3.52, 4 Tm 3.50-3.51
Er  0.0000  0.5000  0.5000 [2 per cell]  4 Tm 3.50, 8 Er 3.50-3.52
Er  0.5000  0.5000  0.0000 [1 per cell]  4 Ac 3.52, 8 Er 3.63
Er  0.5000  0.5000  0.2047 [2 per cell]  8 Er 3.49-3.50, 4 Tm 3.52
Er  0.5000  0.5000  0.4013 [2 per cell]  8 Er 3.50, 4 Tm 3.52
Tm  0.0000  0.0000  0.2036 [2 per cell]  12 Er 3.48-3.52
Tm  0.0000  0.0000  0.4014 [2 per cell]  12 Er 3.50-3.52

---

# AcErTm14

Crystalline AcErTm14 at its relaxed geometry (GGA-PBE, the Alexandria database).

Computed properties:
N(E_F) = 1.536 states/eV per atom
size of the total moment = 0.000 μB/atom
calculated density = 9.202 g/cm3
energy relative to the elements = 1.2 kJ/mol of atoms

Lattice parameters (Å, degrees): 11.1601 7.1789 12.4295 90.00 90.00 90.00
Closest atoms and distances in Å follow each position.
Space group Amm2 (No. 38)
Unique sites:
Ac  0.0000  0.0000  0.0000 [2 per cell]  10 Tm 3.53-3.59, 2 Er 3.59
Er  0.0000  0.0000  0.4993 [2 per cell]  10 Tm 3.49-3.61, 2 Ac 3.59
Tm  0.0000  0.2486  0.2508 [4 per cell]  8 Tm 3.49-3.61, 2 Er 3.57-3.61, 2 Ac 3.58-3.59
Tm  0.2505  0.0000  0.6673 [4 per cell]  11 Tm 3.47-3.59, 1 Er 3.49
Tm  0.2553  0.0000  0.1686 [4 per cell]  11 Tm 3.42-3.62, 1 Ac 3.54
Tm  0.2557  0.2479  0.4165 [8 per cell]  10 Tm 3.42-3.62, 1 Er 3.52, 1 Ac 3.53
Tm  0.5000  0.0000  0.0006 [2 per cell]  12 Tm 3.44-3.59
Tm  0.5000  0.0000  0.5007 [2 per cell]  12 Tm 3.42-3.59
Tm  0.5000  0.2500  0.2504 [4 per cell]  12 Tm 3.42-3.59

---

# AcEr7Tm3

Crystalline AcEr7Tm3 at its relaxed geometry (GGA-PBE, the Alexandria database).

Computed properties:
E above lowest polymorph = 1.78 eV/f.u.
N(E_F) = 1.672 states/eV per atom
size of the total moment = 0.000 μB/atom
calculated density = 8.730 g/cm3
energy relative to the elements = 30.8 kJ/mol of atoms

Lattice parameters (Å, degrees): 5.8844 11.0074 11.1863 90.00 90.00 90.00
Closest atoms and distances in Å follow each position.
Space group Immm (No. 71)
Unique sites:
Ac  0.0000  0.0000  0.0000 [2 per cell]  2 Er 2.94
Er  0.0000  0.0000  0.3036 [4 per cell]  2 Tm 3.18, 1 Ac 3.40, 2 Er 3.55
Er  0.0000  0.3087  0.2122 [8 per cell]  2 Tm 3.17-3.40, 3 Er 3.32-3.55
Er  0.0000  0.5000  0.5000 [2 per cell]  2 Ac 2.94, 2 Tm 3.21
Tm  0.0000  0.2084  0.5000 [4 per cell]  5 Er 3.18-3.40
Tm  0.0000  0.5000  0.0000 [2 per cell]  4 Er 3.17

---

# AcEr3Tm4

Crystalline AcEr3Tm4 at its relaxed geometry (GGA-PBE, the Alexandria database).

Computed properties:
N(E_F) = 1.786 states/eV per atom
size of the total moment = 0.000 μB/atom
calculated density = 8.904 g/cm3
energy relative to the elements = 12.8 kJ/mol of atoms

Lattice parameters (Å, degrees): 3.5166 11.5142 12.9376 90.00 90.00 90.00
Closest atoms and distances in Å follow each position.
Space group Immm (No. 71)
Unique sites:
Ac  0.0000  0.0000  0.0000 [2 per cell]  2 Ac 3.52, 4 Er 3.82, 8 Tm 3.90
Er  0.0000  0.0000  0.5000 [2 per cell]  4 Tm 3.29, 6 Er 3.52-3.55
Er  0.0000  0.5000  0.2380 [4 per cell]  6 Tm 3.39-3.52, 4 Er 3.52-3.55
Tm  0.0000  0.2403  0.3619 [8 per cell]  4 Er 3.29-3.52, 5 Tm 3.39-3.57

---

# AcEr7Tm3

Crystalline AcEr7Tm3 at its relaxed geometry (GGA-PBE, the Alexandria database).

Computed properties:
E above lowest polymorph = 0.00 eV/f.u.
N(E_F) = 1.563 states/eV per atom
size of the total moment = 0.000 μB/atom
calculated density = 8.885 g/cm3
energy relative to the elements = 15.2 kJ/mol of atoms

Lattice parameters (Å, degrees): 6.9304 5.5359 9.7615 90.00 108.10 90.00
Closest atoms and distances in Å follow each position.
Space group P2/m (No. 10)
Unique sites:
Ac  0.0000  0.0000  0.0000 [1 per cell]  2 Tm 3.47, 10 Er 3.60-3.78
Er  0.0000  0.0000  0.5000 [1 per cell]  4 Tm 3.37, 2 Er 3.72
Er  0.1485  0.5000  0.7883 [2 per cell]  2 Tm 3.28-3.32, 3 Er 3.31-3.60
Er  0.3336  0.5000  0.1449 [2 per cell]  5 Er 3.28-3.60, 3 Tm 3.46-3.53, 2 Ac 3.60
Er  0.4387  0.0000  0.3339 [2 per cell]  3 Er 3.09-3.28, 1 Tm 3.41
Tm  0.2733  0.5000  0.4910 [2 per cell]  1 Tm 3.09, 4 Er 3.28-3.37
Tm  0.5000  0.0000  0.0000 [1 per cell]  6 Er 3.41-3.46, 2 Ac 3.47

---

# AcEr6Tm2

Crystalline AcEr6Tm2 at its relaxed geometry (GGA-PBE, the Alexandria database).

Computed properties:
E above lowest polymorph = 2.92 eV/f.u.
N(E_F) = 1.667 states/eV per atom
size of the total moment = 0.001 μB/atom
calculated density = 7.730 g/cm3
energy relative to the elements = 39.1 kJ/mol of atoms

Lattice parameters (Å, degrees): 6.8015 6.8015 25.2298 90.00 90.00 120.00
Closest atoms and distances in Å follow each position.
Space group R3m (No. 160, hexagonal axes)
Unique sites:
Ac  0.0000  0.0000  0.0000 [3 per cell]  6 Er 3.50-3.55
Er  0.0082  0.5041  0.5507 [9 per cell]  6 Er 3.23-3.48, 2 Tm 3.47, 1 Ac 3.50
Er  0.1682  0.3363  0.1165 [9 per cell]  6 Er 3.23-3.43, 2 Tm 3.44, 1 Ac 3.55
Tm  0.0000  0.0000  0.5784 [3 per cell]  9 Er 3.47-3.78
Tm  0.0000  0.0000  0.7616 [3 per cell]  9 Er 3.44-3.64

---

# AcEr10Tm4

Crystalline AcEr10Tm4 at its relaxed geometry (GGA-PBE, the Alexandria database).

Computed properties:
N(E_F) = 1.957 states/eV per atom
size of the total moment = 0.000 μB/atom
calculated density = 8.103 g/cm3
energy relative to the elements = 52.3 kJ/mol of atoms

Lattice parameters (Å, degrees): 12.7002 12.7002 6.5437 90.00 90.00 90.00
Closest atoms and distances in Å follow each position.
Space group I4/m (No. 87)
Unique sites:
Ac  0.0000  0.0000  0.0000 [2 per cell]  8 Tm 4.08, 8 Er 4.34
Er  0.0000  0.5000  0.2500 [4 per cell]  6 Er 3.14-3.27
Er  0.1284  0.7108  0.2494 [16 per cell]  4 Er 3.14-3.28, 3 Tm 3.29-3.45
Tm  0.0678  0.1796  0.5000 [8 per cell]  6 Er 3.29-3.45, 2 Tm 3.45

---

# AcEr2Tm3

Crystalline AcEr2Tm3 at its relaxed geometry (GGA-PBE, the Alexandria database).

Computed properties:
N(E_F) = 1.759 states/eV per atom
size of the total moment = 0.000 μB/atom
calculated density = 9.101 g/cm3
energy relative to the elements = 11.0 kJ/mol of atoms

Lattice parameters (Å, degrees): 9.0573 9.8418 8.9510 90.00 102.25 90.00
Closest atoms and distances in Å follow each position.
Space group C2/c (No. 15)
Unique sites:
Ac  0.0000  0.0741  0.2500 [4 per cell]  5 Tm 3.37-3.58, 6 Er 3.69-3.77
Er  0.1249  0.2566  0.6261 [8 per cell]  2 Er 3.49-3.52, 9 Tm 3.53-3.87, 3 Ac 3.69-3.77
Tm  0.0000  0.4165  0.2500 [4 per cell]  4 Tm 3.18-3.44, 1 Ac 3.37
Tm  0.2327  0.4110  0.9927 [8 per cell]  3 Tm 3.18-3.44, 1 Ac 3.37, 1 Er 3.53